{
  "formula": "TaGaPb",
  "functional": "PBE",
  "state": "optimized geometry",
  "magmom_total_mub_per_fu": 0.000,
  "dos_at_fermi_per_ev_atom": 0.429,
  "relative_energy_mev_per_atom": 82,
  "formation_enthalpy_0k_ev_per_atom": 0.1045,
  "lattice_angstrom": [[3.445, 0.000, 0.000], [0.000, 4.264, 0.000], [0.000, 0.000, 19.180]],
  "species": ["Ta", "Ta", "Ta", "Ta", "Ga", "Ga", "Ga", "Ga", "Pb", "Pb", "Pb", "Pb"],
  "frac_coords": [[0.000, 0.250, 0.195], [0.000, 0.750, 0.805], [0.500, 0.250, 0.305], [0.500, 0.750, 0.695], [0.000, 0.250, 0.694], [0.000, 0.750, 0.306], [0.500, 0.250, 0.806], [0.500, 0.750, 0.194], [0.000, 0.250, 0.438], [0.000, 0.750, 0.562], [0.500, 0.250, 0.062], [0.500, 0.750, 0.938]]
}

{
  "formula": "ZrGaCoMo2",
  "functional": "PBE",
  "state": "optimized geometry",
  "magmom_total_mub_per_fu": 1.263,
  "dos_at_fermi_per_ev_atom": 1.565,
  "formation_enthalpy_0k_ev_per_atom": 1.8289,
  "lattice_angstrom": [[4.849, 0.000, 0.000], [0.000, 4.849, 0.000], [0.000, 0.000, 4.470]],
  "species": ["Zr", "Ga", "Co", "Mo", "Mo"],
  "frac_coords": [[0.000, 0.000, 0.000], [0.500, 0.500, 0.500], [0.000, 0.000, 0.500], [0.000, 0.500, 0.000], [0.500, 0.000, 0.000]]
}